[1]
DFT (PBE) results for crystalline Sr3MgPb3 at its relaxed geometry.

The structure in CIF format:
```
data_Sr3MgPb3
_chemical_formula_sum 'Sr12 Mg4 Pb12'
_cell_length_a 12.5038
_cell_length_b 5.1089
_cell_length_c 16.2471
_cell_angle_alpha 90.00
_cell_angle_beta 110.23
_cell_angle_gamma 90.00
_symmetry_space_group_name_H-M 'C 1 2/m 1'
_symmetry_Int_Tables_number 12
_symmetry_space_group_name_Hall '-C 2y'
loop_
_atom_site_label
_atom_site_type_symbol
_atom_site_fract_x
_atom_site_fract_y
_atom_site_fract_z
Sr1 Sr 0.0219 0.0000 0.3803
Sr2 Sr 0.0949 0.0000 0.9200
Sr3 Sr 0.2375 0.0000 0.2247
Mg1 Mg 0.2350 0.5000 0.4059
Pb1 Pb 0.0316 0.5000 0.2359
Pb2 Pb 0.1202 0.5000 0.0749
Pb3 Pb 0.1332 0.5000 0.5512
```

---

[2]
DFT (PBE) results for crystalline La2As4IrPt3 at its relaxed geometry.

The structure in CIF format:
```
data_La2As4IrPt3
_chemical_formula_sum 'La2 As4 Ir1 Pt3'
_cell_length_a 4.4540
_cell_length_b 4.4540
_cell_length_c 10.0275
_cell_angle_alpha 90.00
_cell_angle_beta 90.00
_cell_angle_gamma 90.00
_symmetry_space_group_name_H-M 'P -4 m 2'
_symmetry_Int_Tables_number 115
_symmetry_space_group_name_Hall 'P -4 -2'
loop_
_atom_site_label
_atom_site_type_symbol
_atom_site_fract_x
_atom_site_fract_y
_atom_site_fract_z
La1 La 0.0000 0.5000 0.2480
As1 As 0.0000 0.0000 0.5000
As2 As 0.0000 0.5000 0.8704
As3 As 0.5000 0.5000 0.5000
Ir1 Ir 0.5000 0.5000 0.0000
Pt1 Pt 0.0000 0.0000 0.0000
Pt2 Pt 0.0000 0.5000 0.6212
```

---

[3]
DFT (PBE) results for crystalline Pm3Nd4Sm3 at its relaxed geometry.

The structure in CIF format:
```
data_Pm3Nd4Sm3
_chemical_formula_sum 'Pm6 Nd8 Sm6'
_cell_length_a 3.8480
_cell_length_b 13.5296
_cell_length_c 13.5089
_cell_angle_alpha 90.00
_cell_angle_beta 90.00
_cell_angle_gamma 90.00
_symmetry_space_group_name_H-M 'A m m 2'
_symmetry_Int_Tables_number 38
_symmetry_space_group_name_Hall 'A 2 -2'
loop_
_atom_site_label
_atom_site_type_symbol
_atom_site_fract_x
_atom_site_fract_y
_atom_site_fract_z
Pm1 Pm 0.0000 0.0000 0.0000
Pm2 Pm 0.5000 0.2494 0.4200
Nd1 Nd 0.5000 0.0000 0.5407
Nd2 Nd 0.5000 0.0000 0.7990
Nd3 Nd 0.5000 0.1294 0.1703
Sm1 Sm 0.0000 0.0000 0.3400
Sm2 Sm 0.0000 0.1700 0.6700
```

---

Formation enthalpy at 0 K values, unit meV per atom, following the record order: -494 -886 101.
Total magnetic moment values, unit μB per cell, following the record order: 0.00 0.00 0.00.